VASP calculation (PBE+U) on a relaxed MnTe2IO crystal.

Space group = P4/mmm, No. 123
Density of states at the Fermi level = 2.88 states/eV/cell
Relative energy among the computed polymorphs = 0.0 meV per atom

abc: 4.477 4.477 6.770
angles: 90.00 90.00 90.00
Last column: magnetic moment on the atom in μB.
Fractional coordinates of all 5 atoms:
1 I 0.000 0.000 0.500  0.01
2 Te 0.000 0.500 0.000  -0.01
3 Te 0.500 0.000 0.000  -0.01
4 O 0.000 0.000 0.000  -0.01
5 Mn 0.500 0.500 0.500  4.76